{
  "formula": "Na2WO4",
  "functional": "GGA-PBEsol",
  "state": "relaxed",
  "energy_ev_per_atom": -7.48,
  "cell": [[6.447, 0.000, 0.000], [3.223, 5.583, 0.000], [3.223, 1.861, 5.264]],
  "species": ["Na", "Na", "Na", "Na", "W", "W", "O", "O", "O", "O", "O", "O", "O", "O"],
  "frac_coords": [[0.125, 0.625, 0.625], [0.625, 0.625, 0.625], [0.625, 0.125, 0.625], [0.625, 0.625, 0.125], [0.000, 0.000, 0.000], [0.250, 0.250, 0.250], [0.364, 0.364, 0.909], [0.886, 0.341, 0.886], [0.341, 0.886, 0.886], [0.886, 0.886, 0.886], [0.909, 0.364, 0.364], [0.364, 0.364, 0.364], [0.886, 0.886, 0.341], [0.364, 0.909, 0.364]]
}

{
  "formula": "Zr2Ge2W",
  "functional": "GGA-PBEsol",
  "state": "relaxed",
  "ef_kj_per_mol_atoms": -63.5,
  "cell": [[3.781, 0.000, 0.000], [0.000, 6.777, 0.000], [0.000, 0.000, 6.777]],
  "species": ["Ge", "Ge", "Ge", "Ge", "Zr", "Zr", "Zr", "Zr", "W", "W"],
  "frac_coords": [[0.000, 0.368, 0.868], [0.000, 0.868, 0.632], [0.000, 0.632, 0.132], [0.000, 0.132, 0.368], [0.500, 0.173, 0.673], [0.500, 0.673, 0.827], [0.500, 0.827, 0.327], [0.500, 0.327, 0.173], [0.000, 0.000, 0.000], [0.000, 0.500, 0.500]]
}